# 1
Compound: CoRhPb2
Source: Alexandria via LeMat-Bulk
Functional: PBE
Structure: optimized geometry

a b c (Å): 3.879 3.879 10.102
angles (deg): 90.00 90.00 90.00
Space group I-4m2 (No. 119)
Unique sites:
Co: 0.000 0.000 0.000 [2 per cell]
Rh: 0.000 0.500 0.250 [2 per cell]
Pb: 0.000 0.000 0.500 [2 per cell]
Pb: 0.000 0.500 0.750 [2 per cell]

=====

# 2
Compound: CoRhPb2
Source: Alexandria via LeMat-Bulk
Functional: PBE
Structure: optimized geometry

a b c (Å): 6.015 6.015 11.878
angles (deg): 90.00 90.00 90.00
Space group I-42d (No. 122)
Unique sites:
Co: 0.000 0.000 0.000 [4 per cell]
Rh: 0.000 0.000 0.500 [4 per cell]
Pb: 0.233 0.250 0.125 [8 per cell]

=====

# 3
Compound: CoRh2Pb
Source: Alexandria via LeMat-Bulk
Functional: PBE
Structure: optimized geometry

a b c (Å): 5.837 7.167 3.041
angles (deg): 90.00 90.00 90.00
Space group Cmmm (No. 65)
Unique sites:
Co: 0.000 0.000 0.000 [2 per cell]
Rh: 0.250 0.250 0.500 [4 per cell]
Pb: 0.000 0.500 0.000 [2 per cell]

=====

# 4
Compound: Co2RhPb
Source: Alexandria via LeMat-Bulk
Functional: PBE
Structure: optimized geometry

a b c (Å): 3.833 3.833 18.517
angles (deg): 90.00 90.00 90.00
Space group I-42d (No. 122)
Unique sites:
Co: 0.167 0.250 0.125 [8 per cell]
Rh: 0.000 0.000 0.000 [4 per cell]
Pb: 0.000 0.000 0.500 [4 per cell]

=====

Number 1: magnetization 0.17 μB per formula unit, uncorrected energy -40.537 eV per cell, calculated volume 152 Å³ per cell. Number 2: magnetization 0.45 μB per formula unit, uncorrected energy -75.507 eV per cell, calculated volume 430 Å³ per cell. Number 3: magnetization 2.52 μB per formula unit, uncorrected energy -49.174 eV per cell, calculated volume 127 Å³ per cell. Number 4: magnetization 3.57 μB per formula unit, uncorrected energy -91.952 eV per cell, calculated volume 272 Å³ per cell.